Record 1
## V2IrN (PBE-GGA)

Data for a relaxed structure of V2IrN.

Geometry as POSCAR:
```
V2IrN
1.0
5.7384 0.0000 0.0000
0.0000 5.7384 0.0000
0.0000 0.0000 6.2847
V Ir N
8 4 4
Direct
0.1669 0.2500 0.1250
0.2500 0.6669 0.3750
0.2500 0.8331 0.8750
0.3331 0.2500 0.6250
0.6669 0.7500 0.6250
0.7500 0.1669 0.8750
0.7500 0.3331 0.3750
0.8331 0.7500 0.1250
0.0000 0.0000 0.5000
0.0000 0.5000 0.7500
0.5000 0.0000 0.2500
0.5000 0.5000 0.0000
0.0000 0.0000 0.0000
0.0000 0.5000 0.2500
0.5000 0.0000 0.7500
0.5000 0.5000 0.5000
```

Formation energy from raw total energies ... -0.320 eV/atom
Density of states at the Fermi level ... 18.5 states/eV/cell
Space-group type ... I-42d

=====

Record 2
## VIr2N (PBE-GGA)

Data for a relaxed structure of VIr2N.

Geometry as POSCAR:
```
VIr2N
1.0
4.9916 0.0000 0.0000
0.0000 4.9916 0.0000
0.0000 0.0000 10.0756
V Ir N
4 8 4
Direct
0.0000 0.0000 0.0000
0.0000 0.5000 0.2500
0.5000 0.0000 0.7500
0.5000 0.5000 0.5000
0.1763 0.2500 0.6250
0.2500 0.6763 0.8750
0.2500 0.8237 0.3750
0.3237 0.2500 0.1250
0.6763 0.7500 0.1250
0.7500 0.1763 0.3750
0.7500 0.3237 0.8750
0.8237 0.7500 0.6250
0.0000 0.0000 0.5000
0.0000 0.5000 0.7500
0.5000 0.0000 0.2500
0.5000 0.5000 0.0000
```

Formation energy from raw total energies ... 0.362 eV/atom
Density of states at the Fermi level ... 3.0 states/eV/cell
Space-group type ... I-42d

=====

Record 3
## V2IrN (PBE-GGA)

Data for a relaxed structure of V2IrN.

Geometry as POSCAR:
```
V2IrN
1.0
2.8377 0.0000 0.0000
-1.4189 2.4575 0.0000
0.0000 0.0000 19.6752
V Ir N
6 3 3
Direct
0.0000 0.0000 0.0000
0.0000 0.0000 0.2183
0.3333 0.6667 0.6667
0.3333 0.6667 0.8850
0.6667 0.3333 0.3333
0.6667 0.3333 0.5516
0.0000 0.0000 0.4412
0.3333 0.6667 0.1079
0.6667 0.3333 0.7746
0.0000 0.0000 0.6084
0.3333 0.6667 0.2751
0.6667 0.3333 0.9418
```

Formation energy from raw total energies ... -0.828 eV/atom
Density of states at the Fermi level ... 9.9 states/eV/cell
Space-group type ... R3m

=====

Record 4
## VIrN (PBE-GGA)

Data for a relaxed structure of VIrN.

Geometry as POSCAR:
```
VIrN
1.0
0.0000 4.3558 5.2323
3.4143 0.0000 5.2323
3.4143 4.3558 0.0000
V Ir N
4 4 4
Direct
0.1171 0.6329 0.1171
0.3671 0.8829 0.3671
0.6329 0.1171 0.6329
0.8829 0.3671 0.8829
0.1900 0.5600 0.5600
0.4400 0.8100 0.8100
0.5600 0.1900 0.1900
0.8100 0.4400 0.4400
0.0000 0.0000 0.0000
0.0000 0.0000 0.5000
0.0000 0.5000 0.0000
0.5000 0.0000 0.0000
```

Formation energy from raw total energies ... 0.107 eV/atom
Density of states at the Fermi level ... 11.7 states/eV/cell
Space-group type ... Fddd

=====

Record 5
## V6Ir2N (PBE-GGA)

Data for a relaxed structure of V6Ir2N.

Geometry as POSCAR:
```
V6Ir2N
1.0
5.5853 -3.0484 0.0000
5.5853 3.0484 0.0000
-1.4553 0.0000 3.7711
V Ir N
6 2 1
Direct
0.0786 0.6239 0.3501
0.1855 0.8145 0.0000
0.3761 0.9214 0.6499
0.6239 0.0786 0.3501
0.8145 0.1855 0.0000
0.9214 0.3761 0.6499
0.3458 0.3458 0.8442
0.6542 0.6542 0.1558
0.0000 0.0000 0.5000
```

Formation energy from raw total energies ... 0.029 eV/atom
Density of states at the Fermi level ... 11.3 states/eV/cell
Space-group type ... C2/m

=====

Record 6
## V2IrN (PBE-GGA)

Data for a relaxed structure of V2IrN.

Geometry as POSCAR:
```
V2IrN
1.0
2.8541 0.0000 0.0000
-1.4270 2.4717 0.0000
0.0000 0.0000 19.5666
V Ir N
6 3 3
Direct
0.0000 0.0000 0.2229
0.0000 0.0000 0.7771
0.3333 0.6667 0.4438
0.3333 0.6667 0.8895
0.6667 0.3333 0.1105
0.6667 0.3333 0.5562
0.0000 0.0000 0.0000
0.3333 0.6667 0.6667
0.6667 0.3333 0.3333
0.0000 0.0000 0.5000
0.3333 0.6667 0.1667
0.6667 0.3333 0.8333
```

Formation energy from raw total energies ... -0.821 eV/atom
Density of states at the Fermi level ... 5.9 states/eV/cell
Space-group type ... R-3m

=====

Record 7
## ZrV2IrN (PBE-GGA)

Data for a relaxed structure of ZrV2IrN.

Geometry as POSCAR:
```
ZrV2IrN
1.0
3.9385 0.0000 0.0000
0.0000 3.9385 0.0000
0.0000 0.0000 4.4557
Zr V Ir N
1 2 1 1
Direct
0.0000 0.0000 0.0000
0.0000 0.5000 0.5000
0.5000 0.0000 0.5000
0.5000 0.5000 0.0000
0.0000 0.0000 0.5000
```

Formation energy from raw total energies ... -0.762 eV/atom
Density of states at the Fermi level ... 5.2 states/eV/cell
Space-group type ... P4/mmm
ΔE to the lowest computed polymorph ... 0.000 eV/atom

=====

Record 8
## Zr2VIrN (PBE-GGA)

Data for a relaxed structure of Zr2VIrN.

Geometry as POSCAR:
```
Zr2VIrN
1.0
4.5233 0.0000 0.0000
0.0000 4.5233 0.0000
0.0000 0.0000 3.7957
Zr V Ir N
2 1 1 1
Direct
0.0000 0.5000 0.0000
0.5000 0.0000 0.0000
0.0000 0.0000 0.5000
0.5000 0.5000 0.5000
0.0000 0.0000 0.0000
```

Formation energy from raw total energies ... -0.929 eV/atom
Density of states at the Fermi level ... 3.8 states/eV/cell
Space-group type ... P4/mmm

=====

What is the density of states at the Fermi level in the eighth record?
3.8 states/eV/cell

=====

Please write out number 4 again, unchanged.
## VIrN (PBE-GGA)

Data for a relaxed structure of VIrN.

Geometry as POSCAR:
```
VIrN
1.0
0.0000 4.3558 5.2323
3.4143 0.0000 5.2323
3.4143 4.3558 0.0000
V Ir N
4 4 4
Direct
0.1171 0.6329 0.1171
0.3671 0.8829 0.3671
0.6329 0.1171 0.6329
0.8829 0.3671 0.8829
0.1900 0.5600 0.5600
0.4400 0.8100 0.8100
0.5600 0.1900 0.1900
0.8100 0.4400 0.4400
0.0000 0.0000 0.0000
0.0000 0.0000 0.5000
0.0000 0.5000 0.0000
0.5000 0.0000 0.0000
```

Formation energy from raw total energies ... 0.107 eV/atom
Density of states at the Fermi level ... 11.7 states/eV/cell
Space-group type ... Fddd